Entry from Alexandria via LeMat-Bulk: crystalline Sr2TlSi at its relaxed geometry (PBE).

Cell lengths 3.738, 4.153, 7.914 Å; angles 90.00, 90.00, 90.00 degrees
Positions (direct):
Sr 0.000 0.000 0.224
Sr 0.000 0.000 0.776
Tl 0.500 0.500 0.500
Si 0.500 0.500 0.000

Summary:
E_form (uncorrected): -297 meV per atom